Crystalline AcDyCoRh at its relaxed geometry. Source: Alexandria via LeMat-Bulk, functional PBE. Values from VASP.

Calculated values
The formation enthalpy at 0 K is -0.264 eV per atom.

Structure (Quantum ESPRESSO input):
```
&SYSTEM
  ibrav = 0, nat = 4, ntyp = 4
/
ATOMIC_SPECIES
Co 58.93 Co.upf
Ac 227.00 Ac.upf
Rh 102.91 Rh.upf
Dy 162.50 Dy.upf
ATOMIC_POSITIONS crystal
Co 0.250 0.250 0.250
Ac 0.000 0.000 0.000
Rh 0.750 0.750 0.750
Dy 0.500 0.500 0.500
CELL_PARAMETERS angstrom
-1.037 -1.004 -4.797
0.918 -4.561 -1.860
-3.806 -3.046 -1.155
```